# CoPd2F

A relaxed structure of CoPd2F (GGA-PBEsol, Alexandria).

## Properties
uncorrected energy = -5.360 eV per atom
DOS at the Fermi energy = 3.8 states/eV/f.u.

Structure (CIF):
```
data_CoPd2F
_chemical_formula_sum 'Co1 Pd2 F1'
_cell_length_a 4.141
_cell_length_b 4.141
_cell_length_c 4.141
_cell_angle_alpha 60.00
_cell_angle_beta 60.00
_cell_angle_gamma 60.00
_space_group_name_H-M_alt 'P 1'
_space_group_IT_number 1
loop_
_space_group_symop_operation_xyz
'x,y,z'
loop_
_atom_site_label
_atom_site_type_symbol
_atom_site_fract_x
_atom_site_fract_y
_atom_site_fract_z
Co1 Co 0.000 0.000 0.000
Pd1 Pd 0.250 0.250 0.250
Pd2 Pd 0.750 0.750 0.750
F1 F 0.500 0.500 0.500
```

# Li4V3Fe3Te2O16

A relaxed structure of Li4V3Fe3Te2O16 (GGA-PBEsol, Alexandria).

## Properties
uncorrected energy = -7.278 eV per atom
DOS at the Fermi energy = 4.4 states/eV/f.u.

Structure (CIF):
```
data_Li4V3Fe3Te2O16
_chemical_formula_sum 'Li4 V3 Fe3 Te2 O16'
_cell_length_a 5.646
_cell_length_b 5.673
_cell_length_c 10.195
_cell_angle_alpha 90.04
_cell_angle_beta 90.10
_cell_angle_gamma 117.71
_space_group_name_H-M_alt 'P 1'
_space_group_IT_number 1
loop_
_space_group_symop_operation_xyz
'x,y,z'
loop_
_atom_site_label
_atom_site_type_symbol
_atom_site_fract_x
_atom_site_fract_y
_atom_site_fract_z
Li1 Li 0.000 0.000 0.000
Li2 Li 0.011 0.991 0.499
Li3 Li 0.335 0.684 0.582
Li4 Li 0.688 0.340 0.085
V1 V 0.648 0.816 0.264
V2 V 0.813 0.654 0.766
V3 V 0.816 0.185 0.768
Fe1 Fe 0.178 0.352 0.271
Fe2 Fe 0.203 0.822 0.272
Fe3 Fe 0.377 0.188 0.771
Te1 Te 0.324 0.658 0.987
Te2 Te 0.671 0.336 0.480
O1 O 0.002 0.002 0.685
O2 O 0.005 0.985 0.187
O3 O 0.049 0.533 0.146
O4 O 0.150 0.323 0.889
O5 O 0.162 0.837 0.888
O6 O 0.331 0.139 0.382
O7 O 0.370 0.675 0.389
O8 O 0.513 0.986 0.159
O9 O 0.524 0.527 0.165
O10 O 0.527 0.526 0.663
O11 O 0.539 0.040 0.644
O12 O 0.693 0.364 0.892
O13 O 0.695 0.864 0.876
O14 O 0.845 0.158 0.390
O15 O 0.875 0.685 0.375
O16 O 0.982 0.498 0.660
```

# CuReSe2

A relaxed structure of CuReSe2 (GGA-PBEsol, Alexandria).

## Properties
uncorrected energy = -6.016 eV per atom
excess energy over the best structure of this formula in the dataset = 150 meV per atom
DOS at the Fermi energy = 2.6 states/eV/f.u.

Structure (CIF):
```
data_CuReSe2
_chemical_formula_sum 'Cu1 Re1 Se2'
_cell_length_a 3.067
_cell_length_b 3.067
_cell_length_c 6.473
_cell_angle_alpha 90.00
_cell_angle_beta 90.00
_cell_angle_gamma 90.00
_space_group_name_H-M_alt 'P 1'
_space_group_IT_number 1
loop_
_space_group_symop_operation_xyz
'x,y,z'
loop_
_atom_site_label
_atom_site_type_symbol
_atom_site_fract_x
_atom_site_fract_y
_atom_site_fract_z
Cu1 Cu 0.000 0.000 0.000
Re1 Re 0.000 0.000 0.500
Se1 Se 0.500 0.500 0.260
Se2 Se 0.500 0.500 0.740
```

# ScTcPt2

A relaxed structure of ScTcPt2 (GGA-PBEsol, Alexandria).

## Properties
DFT formation energy = -440 meV/atom
uncorrected energy = -8.390 eV per atom
excess energy over the best structure of this formula in the dataset = 188 meV per atom
DOS at the Fermi energy = 3.4 states/eV/f.u.

Structure (CIF):
```
data_ScTcPt2
_chemical_formula_sum 'Sc1 Tc1 Pt2'
_cell_length_a 2.823
_cell_length_b 3.872
_cell_length_c 5.747
_cell_angle_alpha 90.00
_cell_angle_beta 90.00
_cell_angle_gamma 90.00
_space_group_name_H-M_alt 'P 1'
_space_group_IT_number 1
loop_
_space_group_symop_operation_xyz
'x,y,z'
loop_
_atom_site_label
_atom_site_type_symbol
_atom_site_fract_x
_atom_site_fract_y
_atom_site_fract_z
Sc1 Sc 0.000 0.000 0.000
Tc1 Tc 0.500 0.500 0.295
Pt1 Pt 0.000 0.000 0.487
Pt2 Pt 0.500 0.500 0.766
```

# MgFe4CuO8

A relaxed structure of MgFe4CuO8 (GGA-PBEsol, Alexandria).

## Properties
uncorrected energy = -7.330 eV per atom
DOS at the Fermi energy = 7.3 states/eV/f.u.

Structure (CIF):
```
data_MgFe4CuO8
_chemical_formula_sum 'Mg1 Fe4 Cu1 O8'
_cell_length_a 5.807
_cell_length_b 5.807
_cell_length_c 5.715
_cell_angle_alpha 118.68
_cell_angle_beta 118.68
_cell_angle_gamma 57.96
_space_group_name_H-M_alt 'P 1'
_space_group_IT_number 1
loop_
_space_group_symop_operation_xyz
'x,y,z'
loop_
_atom_site_label
_atom_site_type_symbol
_atom_site_fract_x
_atom_site_fract_y
_atom_site_fract_z
Mg1 Mg 0.000 0.000 0.000
Fe1 Fe 0.000 0.500 0.000
Fe2 Fe 0.390 0.390 0.631
Fe3 Fe 0.500 0.000 0.000
Fe4 Fe 0.610 0.610 0.369
Cu1 Cu 0.000 0.000 0.500
O1 O 0.213 0.735 0.237
O2 O 0.245 0.245 0.225
O3 O 0.265 0.787 0.763
O4 O 0.269 0.269 0.793
O5 O 0.731 0.731 0.207
O6 O 0.735 0.213 0.237
O7 O 0.755 0.755 0.775
O8 O 0.787 0.265 0.763
```

# Ca2CrTe

A relaxed structure of Ca2CrTe (GGA-PBEsol, Alexandria).

## Properties
uncorrected energy = -4.346 eV per atom
DOS at the Fermi energy = 4.2 states/eV/f.u.

Structure (CIF):
```
data_Ca2CrTe
_chemical_formula_sum 'Ca2 Cr1 Te1'
_cell_length_a 5.273
_cell_length_b 5.273
_cell_length_c 5.273
_cell_angle_alpha 60.00
_cell_angle_beta 60.00
_cell_angle_gamma 60.00
_space_group_name_H-M_alt 'P 1'
_space_group_IT_number 1
loop_
_space_group_symop_operation_xyz
'x,y,z'
loop_
_atom_site_label
_atom_site_type_symbol
_atom_site_fract_x
_atom_site_fract_y
_atom_site_fract_z
Ca1 Ca 0.000 0.000 0.000
Ca2 Ca 0.250 0.250 0.250
Cr1 Cr 0.500 0.500 0.500
Te1 Te 0.750 0.750 0.750
```

# ReSi2Au

A relaxed structure of ReSi2Au (GGA-PBEsol, Alexandria).

## Properties
uncorrected energy = -7.017 eV per atom
excess energy over the best structure of this formula in the dataset = 199 meV per atom
DOS at the Fermi energy = 0.6 states/eV/f.u.

Structure (CIF):
```
data_ReSi2Au
_chemical_formula_sum 'Re1 Si2 Au1'
_cell_length_a 4.559
_cell_length_b 4.559
_cell_length_c 4.559
_cell_angle_alpha 128.37
_cell_angle_beta 128.37
_cell_angle_gamma 76.03
_space_group_name_H-M_alt 'P 1'
_space_group_IT_number 1
loop_
_space_group_symop_operation_xyz
'x,y,z'
loop_
_atom_site_label
_atom_site_type_symbol
_atom_site_fract_x
_atom_site_fract_y
_atom_site_fract_z
Re1 Re 0.000 0.000 0.000
Si1 Si 0.250 0.750 0.500
Si2 Si 0.750 0.250 0.500
Au1 Au 0.500 0.500 0.000
```

# Tb2HfAl9

A relaxed structure of Tb2HfAl9 (GGA-PBEsol, Alexandria).

## Properties
DFT formation energy = -425 meV/atom
uncorrected energy = -5.204 eV per atom
DOS at the Fermi energy = 3.0 states/eV/f.u.

Structure (CIF):
```
data_Tb2HfAl9
_chemical_formula_sum 'Tb2 Hf1 Al9'
_cell_length_a 4.174
_cell_length_b 4.174
_cell_length_c 12.442
_cell_angle_alpha 90.00
_cell_angle_beta 90.00
_cell_angle_gamma 90.00
_space_group_name_H-M_alt 'P 1'
_space_group_IT_number 1
loop_
_space_group_symop_operation_xyz
'x,y,z'
loop_
_atom_site_label
_atom_site_type_symbol
_atom_site_fract_x
_atom_site_fract_y
_atom_site_fract_z
Tb1 Tb 0.000 0.000 0.171
Tb2 Tb 0.000 0.000 0.829
Hf1 Hf 0.000 0.000 0.500
Al1 Al 0.000 0.500 0.000
Al2 Al 0.000 0.500 0.340
Al3 Al 0.000 0.500 0.660
Al4 Al 0.500 0.000 0.000
Al5 Al 0.500 0.000 0.340
Al6 Al 0.500 0.000 0.660
Al7 Al 0.500 0.500 0.169
Al8 Al 0.500 0.500 0.500
Al9 Al 0.500 0.500 0.831
```

# SmZnPO

A relaxed structure of SmZnPO (GGA-PBEsol, Alexandria).

## Properties
uncorrected energy = -6.299 eV per atom

Structure (CIF):
```
data_SmZnPO
_chemical_formula_sum 'Sm2 Zn2 P2 O2'
_cell_length_a 10.396
_cell_length_b 10.396
_cell_length_c 10.396
_cell_angle_alpha 21.68
_cell_angle_beta 21.68
_cell_angle_gamma 21.68
_space_group_name_H-M_alt 'P 1'
_space_group_IT_number 1
loop_
_space_group_symop_operation_xyz
'x,y,z'
loop_
_atom_site_label
_atom_site_type_symbol
_atom_site_fract_x
_atom_site_fract_y
_atom_site_fract_z
Sm1 Sm 0.119 0.119 0.119
Sm2 Sm 0.881 0.881 0.881
Zn1 Zn 0.304 0.304 0.304
Zn2 Zn 0.696 0.696 0.696
P1 P 0.387 0.387 0.387
P2 P 0.613 0.613 0.613
O1 O 0.195 0.195 0.195
O2 O 0.805 0.805 0.805
```

# Mn3NiGe

A relaxed structure of Mn3NiGe (GGA-PBEsol, Alexandria).

## Properties
DFT formation energy = 915 meV/atom
uncorrected energy = -7.161 eV per atom
DOS at the Fermi energy = 6.0 states/eV/f.u.

Structure (CIF):
```
data_Mn3NiGe
_chemical_formula_sum 'Mn3 Ni1 Ge1'
_cell_length_a 4.371
_cell_length_b 4.371
_cell_length_c 4.371
_cell_angle_alpha 90.00
_cell_angle_beta 90.00
_cell_angle_gamma 90.00
_space_group_name_H-M_alt 'P 1'
_space_group_IT_number 1
loop_
_space_group_symop_operation_xyz
'x,y,z'
loop_
_atom_site_label
_atom_site_type_symbol
_atom_site_fract_x
_atom_site_fract_y
_atom_site_fract_z
Mn1 Mn 0.000 0.000 0.500
Mn2 Mn 0.000 0.500 0.000
Mn3 Mn 0.500 0.000 0.000
Ni1 Ni 0.000 0.000 0.000
Ge1 Ge 0.500 0.500 0.500
```

# Sc2TaBr

A relaxed structure of Sc2TaBr (GGA-PBEsol, Alexandria).

## Properties
uncorrected energy = -6.930 eV per atom
excess energy over the best structure of this formula in the dataset = 280 meV per atom
DOS at the Fermi energy = 3.8 states/eV/f.u.

Structure (CIF):
```
data_Sc2TaBr
_chemical_formula_sum 'Sc2 Ta1 Br1'
_cell_length_a 5.073
_cell_length_b 5.073
_cell_length_c 3.152
_cell_angle_alpha 90.00
_cell_angle_beta 90.00
_cell_angle_gamma 90.00
_space_group_name_H-M_alt 'P 1'
_space_group_IT_number 1
loop_
_space_group_symop_operation_xyz
'x,y,z'
loop_
_atom_site_label
_atom_site_type_symbol
_atom_site_fract_x
_atom_site_fract_y
_atom_site_fract_z
Sc1 Sc 0.000 0.500 0.000
Sc2 Sc 0.500 0.000 0.000
Ta1 Ta 0.000 0.000 0.500
Br1 Br 0.500 0.500 0.500
```

# Zr2MnCo

A relaxed structure of Zr2MnCo (GGA-PBEsol, Alexandria).

## Properties
DFT formation energy = -211 meV/atom
uncorrected energy = -9.131 eV per atom
DOS at the Fermi energy = 2.0 states/eV/f.u.

Structure (CIF):
```
data_Zr2MnCo
_chemical_formula_sum 'Zr2 Mn1 Co1'
_cell_length_a 3.143
_cell_length_b 3.143
_cell_length_c 6.210
_cell_angle_alpha 90.00
_cell_angle_beta 90.00
_cell_angle_gamma 90.00
_space_group_name_H-M_alt 'P 1'
_space_group_IT_number 1
loop_
_space_group_symop_operation_xyz
'x,y,z'
loop_
_atom_site_label
_atom_site_type_symbol
_atom_site_fract_x
_atom_site_fract_y
_atom_site_fract_z
Zr1 Zr 0.000 0.000 0.247
Zr2 Zr 0.000 0.000 0.753
Mn1 Mn 0.500 0.500 0.000
Co1 Co 0.500 0.500 0.500
```

> The lowest uncorrected energy belongs to which entry?

Zr2MnCo

> What is the uncorrected energy in the third record?

-6.016 eV per atom

> Among the records above, which one has the highest uncorrected energy?

Ca2CrTe